No. 1
# Ta3TiSi (PBE-GGA, optimized geometry)
# Total magnetization: 0.000 μB/f.u.
# N(E_F): 3.66 states/eV/f.u.
# Formation energy (no corrections): 1.51 eV/atom
data_Ta3TiSi
_chemical_formula_sum 'Ta3 Ti1 Si1'
_space_group_name_H-M_alt 'P m -3 m'
_space_group_IT_number 221
_space_group_name_Hall '-P 4 2 3'
_cell_length_a 4.6577
_cell_length_b 4.6577
_cell_length_c 4.6577
_cell_angle_alpha 90.00
_cell_angle_beta 90.00
_cell_angle_gamma 90.00
loop_
_atom_site_label
_atom_site_type_symbol
_atom_site_fract_x
_atom_site_fract_y
_atom_site_fract_z
Ta1 Ta 0.0000 0.0000 0.5000
Ti1 Ti 0.0000 0.0000 0.0000
Si1 Si 0.5000 0.5000 0.5000

No. 2
# NbAg2PtN (PBE-GGA, optimized geometry)
# Total magnetization: 3.172 μB/f.u.
# N(E_F): 4.70 states/eV/f.u.
# Formation energy (no corrections): 1.10 eV/atom
data_NbAg2PtN
_chemical_formula_sum 'Nb1 Ag2 Pt1 N1'
_space_group_name_H-M_alt 'P 4/m m m'
_space_group_IT_number 123
_space_group_name_Hall '-P 4 2'
_cell_length_a 5.2816
_cell_length_b 5.2816
_cell_length_c 3.6327
_cell_angle_alpha 90.00
_cell_angle_beta 90.00
_cell_angle_gamma 90.00
loop_
_atom_site_label
_atom_site_type_symbol
_atom_site_fract_x
_atom_site_fract_y
_atom_site_fract_z
Nb1 Nb 0.0000 0.0000 0.0000
Ag1 Ag 0.0000 0.5000 0.5000
Pt1 Pt 0.5000 0.5000 0.5000
N1 N 0.5000 0.5000 0.0000

No. 3
# MgReI2N (PBE-GGA, optimized geometry)
# Total magnetization: 6.843 μB/f.u.
# N(E_F): 2.47 states/eV/f.u.
# Formation energy (no corrections): 1.39 eV/atom
data_MgReI2N
_chemical_formula_sum 'Mg1 Re1 I2 N1'
_space_group_name_H-M_alt 'P 4/m m m'
_space_group_IT_number 123
_space_group_name_Hall '-P 4 2'
_cell_length_a 5.8132
_cell_length_b 5.8132
_cell_length_c 3.9979
_cell_angle_alpha 90.00
_cell_angle_beta 90.00
_cell_angle_gamma 90.00
loop_
_atom_site_label
_atom_site_type_symbol
_atom_site_fract_x
_atom_site_fract_y
_atom_site_fract_z
Mg1 Mg 0.0000 0.0000 0.0000
Re1 Re 0.5000 0.5000 0.5000
I1 I 0.0000 0.5000 0.0000
N1 N 0.0000 0.0000 0.5000

No. 4
# KCaTl2Rh (PBE-GGA, optimized geometry)
# Formation energy: -0.18 eV/atom
# Total magnetization: 0.000 μB/f.u.
# N(E_F): 3.66 states/eV/f.u.
data_KCaTl2Rh
_chemical_formula_sum 'K1 Ca1 Tl2 Rh1'
_space_group_name_H-M_alt 'P 4/m m m'
_space_group_IT_number 123
_space_group_name_Hall '-P 4 2'
_cell_length_a 5.4104
_cell_length_b 5.4104
_cell_length_c 5.3591
_cell_angle_alpha 90.00
_cell_angle_beta 90.00
_cell_angle_gamma 90.00
loop_
_atom_site_label
_atom_site_type_symbol
_atom_site_fract_x
_atom_site_fract_y
_atom_site_fract_z
K1 K 0.0000 0.0000 0.0000
Ca1 Ca 0.5000 0.5000 0.0000
Tl1 Tl 0.0000 0.5000 0.5000
Rh1 Rh 0.5000 0.5000 0.5000

No. 5
# SrPmPd3 (PBE-GGA, optimized geometry)
# Formation energy: -0.67 eV/atom
# Total magnetization: 0.000 μB/f.u.
# N(E_F): 2.51 states/eV/f.u.
data_SrPmPd3
_chemical_formula_sum 'Sr4 Pm4 Pd12'
_space_group_name_H-M_alt 'C m c m'
_space_group_IT_number 63
_space_group_name_Hall '-C 2c 2'
_cell_length_a 4.0925
_cell_length_b 26.4272
_cell_length_c 4.4817
_cell_angle_alpha 90.00
_cell_angle_beta 90.00
_cell_angle_gamma 90.00
loop_
_atom_site_label
_atom_site_type_symbol
_atom_site_fract_x
_atom_site_fract_y
_atom_site_fract_z
Sr1 Sr 0.0000 0.0716 0.2500
Pm1 Pm 0.0000 0.2042 0.7500
Pd1 Pd 0.0000 0.3147 0.7500
Pd2 Pd 0.0000 0.3744 0.2500
Pd3 Pd 0.0000 0.4737 0.2500

No. 6
# TbInAg2 (PBE-GGA, optimized geometry)
# Formation energy: -0.37 eV/atom
# Total magnetization: 0.000 μB/f.u.
# N(E_F): 2.48 states/eV/f.u.
data_TbInAg2
_chemical_formula_sum 'Tb4 In4 Ag8'
_space_group_name_H-M_alt 'F m -3 m'
_space_group_IT_number 225
_space_group_name_Hall '-F 4 2 3'
_cell_length_a 7.0139
_cell_length_b 7.0139
_cell_length_c 7.0139
_cell_angle_alpha 90.00
_cell_angle_beta 90.00
_cell_angle_gamma 90.00
loop_
_atom_site_label
_atom_site_type_symbol
_atom_site_fract_x
_atom_site_fract_y
_atom_site_fract_z
Tb1 Tb 0.0000 0.0000 0.0000
In1 In 0.0000 0.0000 0.5000
Ag1 Ag 0.2500 0.2500 0.2500

Q: N(E_F) of number 2 (NbAg2PtN)?
A: 4.70 states/eV/f.u.

Q: Among the records above, which one has the highest N(E_F)?
A: NbAg2PtN

What did the fifth record say?
# SrPmPd3 (PBE-GGA, optimized geometry)
# Formation energy: -0.67 eV/atom
# Total magnetization: 0.000 μB/f.u.
# N(E_F): 2.51 states/eV/f.u.
data_SrPmPd3
_chemical_formula_sum 'Sr4 Pm4 Pd12'
_space_group_name_H-M_alt 'C m c m'
_space_group_IT_number 63
_space_group_name_Hall '-C 2c 2'
_cell_length_a 4.0925
_cell_length_b 26.4272
_cell_length_c 4.4817
_cell_angle_alpha 90.00
_cell_angle_beta 90.00
_cell_angle_gamma 90.00
loop_
_atom_site_label
_atom_site_type_symbol
_atom_site_fract_x
_atom_site_fract_y
_atom_site_fract_z
Sr1 Sr 0.0000 0.0716 0.2500
Pm1 Pm 0.0000 0.2042 0.7500
Pd1 Pd 0.0000 0.3147 0.7500
Pd2 Pd 0.0000 0.3744 0.2500
Pd3 Pd 0.0000 0.4737 0.2500